No. 1
A plane-wave DFT calculation with PBE was carried out for an optimized crystal structure of ZnRu3.

E_form, eV/atom: 0.348

Cell lengths 8.5252, 8.5252, 2.7029 Å; angles 90.00, 90.00, 120.00 degrees
Space group R-3m (No. 166, hexagonal axes)
Asymmetric unit:
Zn: 0.0000 0.0000 0.0000 (multiplicity 3)
Ru: 0.0000 0.5000 0.0000 (multiplicity 9)

=====

No. 2
A plane-wave DFT calculation with PBE was carried out for an optimized crystal structure of Mn2AuSe.

Formation energy (no corrections), meV per atom: 124

Cell lengths 2.9996, 2.9996, 26.7249 Å; angles 90.00, 90.00, 120.00 degrees
Space group R3m (No. 160, hexagonal axes)
Asymmetric unit:
Mn: 0.0000 0.0000 0.0000 (multiplicity 3)
Mn: 0.0000 0.0000 0.2583 (multiplicity 3)
Au: 0.0000 0.0000 0.5112 (multiplicity 3)
Se: 0.0000 0.0000 0.7265 (multiplicity 3)

=====

Number 1: magnetic moment 0.00 μB/f.u.. Number 2: magnetic moment 5.60 μB/f.u..